<one>
Cr2SiTe: relaxed, GGA-PBE.

Computed properties:
For the density of states at the Fermi level, the calculation gives 0.60 states/eV/atom. As for the space group: Cm.

a = 4.6712 Å, b = 4.6712 Å, c = 4.5250 Å
α = 104.44°, β = 104.44°, γ = 40.22°
Atoms (fractional coordinates):
Cr 0.0000 0.0000 0.0000
Cr 0.2263 0.2263 0.6393
Si 0.7264 0.7264 0.0902
Te 0.4835 0.4835 0.4718

***

<two>
Cr2SiTe: relaxed, GGA-PBE.

Computed properties:
For the density of states at the Fermi level, the calculation gives 0.70 states/eV/atom. As for the space group: Imm2.

a = 6.2801 Å, b = 6.2801 Å, c = 6.2801 Å
α = 150.84°, β = 148.46°, γ = 43.49°
Atoms (fractional coordinates):
Cr 0.0000 0.0000 0.0000
Cr 0.7919 0.2919 0.5000
Si 0.3554 0.8554 0.5000
Te 0.6066 0.6066 0.0000

***

Energies relative to the most stable structure are <one> 4.2; <two> 0.0, reported in kJ/mol of atoms.